1.
NaZnGe2Pt | PBE | optimized geometry

a = 4.2351 Å, b = 4.2351 Å, c = 6.1345 Å
α = 110.19°, β = 110.19°, γ = 90.00°
Last column: nearest neighbours and their distance in Å.
Fractional coordinates of all 5 atoms:
Ge1 0.6185 0.6185 0.2369  1 Ge 2.54, 2 Pt 2.54, 2 Zn 2.54
Ge2 0.3816 0.3816 0.7631  1 Ge 2.54, 2 Pt 2.54, 2 Zn 2.54
Na1 0.0000 0.0000 0.0000  8 Ge 3.25, 4 Pt 3.41, 4 Zn 3.41
Zn1 0.7500 0.2500 0.5000  4 Ge 2.54
Pt1 0.2500 0.7500 0.5000  4 Ge 2.54

Calculated values
* ΔH_f (0 K): -123 kJ/mol of formula units

=====

2.
Na2Zn2GePt5 | PBE | optimized geometry

a = 3.7612 Å, b = 9.4300 Å, c = 9.4300 Å
α = 90.00°, β = 90.00°, γ = 90.00°
Last column: nearest neighbours and their distance in Å.
Fractional coordinates of all 20 atoms:
Na1 0.0000 0.6727 0.1727  3 Zn 2.66-2.87, 2 Pt 2.97
Pt1 0.5000 0.5000 0.0000  4 Zn 2.54
Pt2 0.5000 0.9346 0.2003  2 Zn 2.55, 2 Ge 2.74, 2 Pt 2.81
Ge1 0.0000 0.0000 0.0000  8 Pt 2.74
Na2 0.0000 0.8273 0.6727  3 Zn 2.66-2.87, 2 Pt 2.97
Zn1 0.0000 0.1279 0.6279  6 Pt 2.54-2.55, 1 Na 2.66
Na3 0.0000 0.3273 0.8273  3 Zn 2.66-2.87, 2 Pt 2.97
Pt3 0.5000 0.7003 0.4346  2 Zn 2.55, 2 Ge 2.74, 2 Pt 2.81
Pt4 0.5000 0.7997 0.9346  2 Zn 2.55, 2 Ge 2.74, 2 Pt 2.81
Zn2 0.0000 0.6279 0.8721  6 Pt 2.54-2.55, 1 Na 2.66
Zn3 0.0000 0.8721 0.3721  6 Pt 2.54-2.55, 1 Na 2.66
Pt5 0.5000 0.5654 0.7003  2 Zn 2.55, 2 Ge 2.74, 2 Pt 2.81
Ge2 0.0000 0.5000 0.5000  8 Pt 2.74
Pt6 0.5000 0.0000 0.5000  4 Zn 2.54
Pt7 0.5000 0.0654 0.7997  2 Zn 2.55, 2 Ge 2.74, 2 Pt 2.81
Pt8 0.5000 0.4346 0.2997  2 Zn 2.55, 2 Ge 2.74, 2 Pt 2.81
Pt9 0.5000 0.2997 0.5654  2 Zn 2.55, 2 Ge 2.74, 2 Pt 2.81
Na4 0.0000 0.1727 0.3273  3 Zn 2.66-2.87, 2 Pt 2.97
Zn4 0.0000 0.3721 0.1279  6 Pt 2.54-2.55, 1 Na 2.66
Pt10 0.5000 0.2003 0.0654  2 Zn 2.55, 2 Ge 2.74, 2 Pt 2.81

Calculated values
* ΔH_f (0 K): -348 kJ/mol of formula units

=====

> Which formula does entry 1 have?

NaZnGe2Pt